Version A
ErSnGe2: relaxed, PBE-GGA.

Computed properties:
Magnetization in μB/atom: 0.000
Density of states at the Fermi level in states/eV per cell: 2.0

```
data_ErSnGe2
_chemical_formula_sum 'Er1 Sn1 Ge2'
_cell_length_a 4.612
_cell_length_b 4.612
_cell_length_c 4.110
_cell_angle_alpha 90.00
_cell_angle_beta 90.00
_cell_angle_gamma 90.00
_symmetry_space_group_name_H-M 'P 4/m m m'
_symmetry_Int_Tables_number 123
_symmetry_space_group_name_Hall '-P 4 2'
loop_
_atom_site_label
_atom_site_fract_x
_atom_site_fract_y
_atom_site_fract_z
Er1 0.000 0.000 0.000
Sn1 0.500 0.500 0.000
Ge1 0.000 0.500 0.500
```

=====

Version B
ErSnGe2: relaxed, PBE-GGA.

Computed properties:
Magnetization in μB/atom: 0.000
Density of states at the Fermi level in states/eV per cell: 9.3

```
data_ErSnGe2
_chemical_formula_sum 'Er3 Sn3 Ge6'
_cell_length_a 4.6733
_cell_length_b 4.6733
_cell_length_c 21.5522
_cell_angle_alpha 90.00
_cell_angle_beta 90.00
_cell_angle_gamma 120.00
_symmetry_space_group_name_H-M 'R -3 m'
_symmetry_Int_Tables_number 166
_symmetry_space_group_name_Hall '-R 3 2"'
loop_
_atom_site_label
_atom_site_fract_x
_atom_site_fract_y
_atom_site_fract_z
Er1 0.0000 0.0000 0.0000
Sn1 0.0000 0.0000 0.5000
Ge1 0.0000 0.0000 0.3812
```

=====

What should be chosen as the least stable of them? Choose version B.

=====

Version A
TbErGe: relaxed, PBE-GGA.

Computed properties:
Magnetization in μB/atom: 0.000
Density of states at the Fermi level in states/eV per cell: 6.0

```
data_TbErGe
_chemical_formula_sum 'Tb2 Er2 Ge2'
_cell_length_a 4.345
_cell_length_b 4.345
_cell_length_c 8.102
_cell_angle_alpha 90.00
_cell_angle_beta 90.00
_cell_angle_gamma 90.00
_symmetry_space_group_name_H-M 'P 4/n m m'
_symmetry_Int_Tables_number 129
loop_
_symmetry_equiv_pos_as_xyz
'x,y,z'
'-x,-y,-z'
'-y+1/2,x,z'
'y+1/2,-x,-z'
'-x+1/2,-y+1/2,z'
'x+1/2,y+1/2,-z'
'y,-x+1/2,z'
'-y,x+1/2,-z'
'x+1/2,-y,-z'
'-x+1/2,y,z'
'-y,-x,-z'
'y,x,z'
'-x,y+1/2,-z'
'x,-y+1/2,z'
'y+1/2,x+1/2,-z'
'-y+1/2,-x+1/2,z'
loop_
_atom_site_label
_atom_site_fract_x
_atom_site_fract_y
_atom_site_fract_z
Tb1 0.250 0.250 0.145
Er1 0.250 0.750 0.500
Ge1 0.250 0.250 0.775
```

=====

Version B
TbErGe: relaxed, PBE-GGA.

Computed properties:
Magnetization in μB/atom: 0.000
Density of states at the Fermi level in states/eV per cell: 1.5

```
data_TbErGe
_chemical_formula_sum 'Tb1 Er1 Ge1'
_cell_length_a 4.6985
_cell_length_b 4.6985
_cell_length_c 4.1685
_cell_angle_alpha 90.00
_cell_angle_beta 90.00
_cell_angle_gamma 120.00
_symmetry_space_group_name_H-M 'P 3 m 1'
_symmetry_Int_Tables_number 156
loop_
_symmetry_equiv_pos_as_xyz
'x,y,z'
'-y,x-y,z'
'-x+y,-x,z'
'-y,-x,z'
'-x+y,y,z'
'x,x-y,z'
loop_
_atom_site_label
_atom_site_fract_x
_atom_site_fract_y
_atom_site_fract_z
Tb1 0.0000 0.0000 0.0000
Er1 0.3333 0.6667 0.5205
Ge1 0.6667 0.3333 0.3453
```

=====

What should be chosen as the least stable of them? Choose version B.

=====

Version A
TbErZnGe: relaxed, PBE-GGA.

Computed properties:
Magnetization in μB/atom: 0.000
Density of states at the Fermi level in states/eV per cell: 9.0

```
data_TbErZnGe
_chemical_formula_sum 'Tb4 Er4 Zn4 Ge4'
_cell_length_a 7.081
_cell_length_b 7.081
_cell_length_c 7.081
_cell_angle_alpha 90.00
_cell_angle_beta 90.00
_cell_angle_gamma 90.00
_symmetry_space_group_name_H-M 'F -4 3 m'
_symmetry_Int_Tables_number 216
_symmetry_space_group_name_Hall 'F -4 2 3'
loop_
_atom_site_label
_atom_site_fract_x
_atom_site_fract_y
_atom_site_fract_z
Tb1 0.000 0.000 0.000
Er1 0.000 0.000 0.500
Zn1 0.250 0.250 0.750
Ge1 0.250 0.250 0.250
```

=====

Version B
TbErZnGe: relaxed, PBE-GGA.

Computed properties:
Magnetization in μB/atom: 0.004
Density of states at the Fermi level in states/eV per cell: 8.0

```
data_TbErZnGe
_chemical_formula_sum 'Tb2 Er2 Zn2 Ge2'
_cell_length_a 4.104
_cell_length_b 4.174
_cell_length_c 10.870
_cell_angle_alpha 90.00
_cell_angle_beta 90.00
_cell_angle_gamma 90.00
_symmetry_space_group_name_H-M 'A m m 2'
_symmetry_Int_Tables_number 38
loop_
_symmetry_equiv_pos_as_xyz
'x,y,z'
'-x,-y,z'
'-x,y,z'
'x,-y,z'
'x,y+1/2,z+1/2'
'-x,-y+1/2,z+1/2'
'-x,y+1/2,z+1/2'
'x,-y+1/2,z+1/2'
loop_
_atom_site_label
_atom_site_fract_x
_atom_site_fract_y
_atom_site_fract_z
Tb1 0.000 0.000 0.000
Er1 0.500 0.000 0.282
Zn1 0.500 0.000 0.568
Ge1 0.000 0.000 0.720
```

=====

What should be chosen as the least stable of them? Choose version A.

=====

Version A
ErTcGe: relaxed, PBE-GGA.

Computed properties:
Magnetization in μB/atom: 0.000
Density of states at the Fermi level in states/eV per cell: 2.5

```
data_ErTcGe
_chemical_formula_sum 'Er1 Tc1 Ge1'
_cell_length_a 4.3216
_cell_length_b 4.3216
_cell_length_c 3.6502
_cell_angle_alpha 90.00
_cell_angle_beta 90.00
_cell_angle_gamma 120.00
_symmetry_space_group_name_H-M 'P -6 m 2'
_symmetry_Int_Tables_number 187
_symmetry_space_group_name_Hall 'P -6 2'
loop_
_atom_site_label
_atom_site_fract_x
_atom_site_fract_y
_atom_site_fract_z
Er1 0.0000 0.0000 0.0000
Tc1 0.6667 0.3333 0.5000
Ge1 0.3333 0.6667 0.5000
```

=====

Version B
ErTcGe: relaxed, PBE-GGA.

Computed properties:
Magnetization in μB/atom: 0.000
Density of states at the Fermi level in states/eV per cell: 8.4

```
data_ErTcGe
_chemical_formula_sum 'Er4 Tc4 Ge4'
_cell_length_a 10.067
_cell_length_b 4.310
_cell_length_c 7.071
_cell_angle_alpha 90.00
_cell_angle_beta 130.65
_cell_angle_gamma 90.00
_symmetry_space_group_name_H-M 'C 1 2/m 1'
_symmetry_Int_Tables_number 12
loop_
_symmetry_equiv_pos_as_xyz
'x,y,z'
'-x,-y,-z'
'-x,y,-z'
'x,-y,z'
'x+1/2,y+1/2,z'
'-x+1/2,-y+1/2,-z'
'-x+1/2,y+1/2,-z'
'x+1/2,-y+1/2,z'
loop_
_atom_site_label
_atom_site_fract_x
_atom_site_fract_y
_atom_site_fract_z
Er1 0.059 0.000 0.312
Tc1 0.149 0.500 0.073
Ge1 0.171 0.500 0.731
```

=====

Version C
ErTcGe: relaxed, PBE-GGA.

Computed properties:
Magnetization in μB/atom: 0.000
Density of states at the Fermi level in states/eV per cell: 13.2

```
data_ErTcGe
_chemical_formula_sum 'Er4 Tc4 Ge4'
_cell_length_a 4.060
_cell_length_b 4.060
_cell_length_c 14.137
_cell_angle_alpha 90.00
_cell_angle_beta 90.00
_cell_angle_gamma 90.00
_symmetry_space_group_name_H-M 'I 4/m m m'
_symmetry_Int_Tables_number 139
_symmetry_space_group_name_Hall '-I 4 2'
loop_
_atom_site_label
_atom_site_fract_x
_atom_site_fract_y
_atom_site_fract_z
Er1 0.000 0.000 0.159
Tc1 0.000 0.500 0.000
Ge1 0.000 0.000 0.379
```

=====

Version D
ErTcGe: relaxed, PBE-GGA.

Computed properties:
Magnetization in μB/atom: 0.000
Density of states at the Fermi level in states/eV per cell: 1.1

```
data_ErTcGe
_chemical_formula_sum 'Er2 Tc2 Ge2'
_cell_length_a 3.353
_cell_length_b 3.353
_cell_length_c 9.964
_cell_angle_alpha 90.00
_cell_angle_beta 90.00
_cell_angle_gamma 90.00
_symmetry_space_group_name_H-M 'I 4 m m'
_symmetry_Int_Tables_number 107
_symmetry_space_group_name_Hall 'I 4 -2'
loop_
_atom_site_label
_atom_site_fract_x
_atom_site_fract_y
_atom_site_fract_z
Er1 0.000 0.000 0.000
Tc1 0.000 0.000 0.692
Ge1 0.000 0.000 0.299
```

=====

What should be chosen as the least stable of them? Choose version A.

=====

Version A
Er2TcGe2: relaxed, PBE-GGA.

Computed properties:
Magnetization in μB/atom: 0.000
Density of states at the Fermi level in states/eV per cell: 18.9

```
data_Er2TcGe2
_chemical_formula_sum 'Er8 Tc4 Ge8'
_cell_length_a 6.265
_cell_length_b 11.944
_cell_length_c 6.066
_cell_angle_alpha 90.00
_cell_angle_beta 90.00
_cell_angle_gamma 90.00
_symmetry_space_group_name_H-M 'I b a m'
_symmetry_Int_Tables_number 72
_symmetry_space_group_name_Hall '-I 2 2c'
loop_
_atom_site_label
_atom_site_fract_x
_atom_site_fract_y
_atom_site_fract_z
Er1 0.210 0.147 0.000
Tc1 0.000 0.500 0.250
Ge1 0.247 0.395 0.000
```

=====

Version B
Er2TcGe2: relaxed, PBE-GGA.

Computed properties:
Magnetization in μB/atom: 0.000
Density of states at the Fermi level in states/eV per cell: 10.1

```
data_Er2TcGe2
_chemical_formula_sum 'Er8 Tc4 Ge8'
_cell_length_a 10.905
_cell_length_b 4.217
_cell_length_c 10.173
_cell_angle_alpha 90.00
_cell_angle_beta 117.97
_cell_angle_gamma 90.00
_symmetry_space_group_name_H-M 'C 1 2/m 1'
_symmetry_Int_Tables_number 12
loop_
_symmetry_equiv_pos_as_xyz
'x,y,z'
'-x,-y,-z'
'-x,y,-z'
'x,-y,z'
'x+1/2,y+1/2,z'
'-x+1/2,-y+1/2,-z'
'-x+1/2,y+1/2,-z'
'x+1/2,-y+1/2,z'
loop_
_atom_site_label
_atom_site_fract_x
_atom_site_fract_y
_atom_site_fract_z
Er1 0.003 0.000 0.175
Er2 0.185 0.000 0.612
Tc1 0.226 0.500 0.868
Ge1 0.010 0.500 0.377
Ge2 0.141 0.500 0.063
```

=====

What should be chosen as the least stable of them? Choose version A.

=====

Version A
ErTc2Ge3: relaxed, PBE-GGA.

Computed properties:
Magnetization in μB/atom: 0.000
Density of states at the Fermi level in states/eV per cell: 15.2

```
data_ErTc2Ge3
_chemical_formula_sum 'Er4 Tc8 Ge12'
_cell_length_a 9.334
_cell_length_b 7.655
_cell_length_c 5.924
_cell_angle_alpha 90.00
_cell_angle_beta 90.00
_cell_angle_gamma 90.00
_symmetry_space_group_name_H-M 'C m c m'
_symmetry_Int_Tables_number 63
_symmetry_space_group_name_Hall '-C 2c 2'
loop_
_atom_site_label
_atom_site_fract_x
_atom_site_fract_y
_atom_site_fract_z
Er1 0.000 0.135 0.250
Tc1 0.217 0.500 0.000
Ge1 0.000 0.496 0.750
Ge2 0.157 0.216 0.750
```

=====

Version B
ErTc2Ge3: relaxed, PBE-GGA.

Computed properties:
Magnetization in μB/atom: 0.000
Density of states at the Fermi level in states/eV per cell: 16.6

```
data_ErTc2Ge3
_chemical_formula_sum 'Er4 Tc8 Ge12'
_cell_length_a 4.395
_cell_length_b 11.436
_cell_length_c 8.586
_cell_angle_alpha 90.00
_cell_angle_beta 90.00
_cell_angle_gamma 90.00
_symmetry_space_group_name_H-M 'C m c m'
_symmetry_Int_Tables_number 63
_symmetry_space_group_name_Hall '-C 2c 2'
loop_
_atom_site_label
_atom_site_fract_x
_atom_site_fract_y
_atom_site_fract_z
Er1 0.000 0.179 0.250
Tc1 0.000 0.000 0.000
Tc2 0.000 0.457 0.250
Ge1 0.000 0.137 0.750
Ge2 0.000 0.380 0.533
```

=====

What should be chosen as the least stable of them? Choose version A.